A plane-wave DFT calculation with PBE-GGA was carried out for HfZrRh3 after structural relaxation. Values from VASP.

Geometry as Quantum ESPRESSO input:
```
&SYSTEM
  ibrav = 0, nat = 5, ntyp = 3
/
ATOMIC_SPECIES
Hf 178.49 Hf.upf
Zr 91.22 Zr.upf
Rh 102.91 Rh.upf
CELL_PARAMETERS angstrom
4.715 0.000 0.000
0.000 4.715 0.000
0.000 0.000 4.715
ATOMIC_POSITIONS angstrom
Hf 0.000 0.000 0.000
Zr 2.358 2.358 2.358
Rh 0.000 0.000 2.358
Rh 0.000 2.358 0.000
Rh 2.358 0.000 0.000
```

Results
offset from the most stable computed form: 0.00 kJ/mol of atoms
energy of formation: 0.37 eV per atom
SG: Pm-3m (221)

=====

A plane-wave DFT calculation with PBE-GGA was carried out for Sr2NiHAu after structural relaxation. Values from VASP.

Geometry as Quantum ESPRESSO input:
```
&SYSTEM
  ibrav = 0, nat = 5, ntyp = 4
/
ATOMIC_SPECIES
Sr 87.62 Sr.upf
Ni 58.69 Ni.upf
H 1.01 H.upf
Au 196.97 Au.upf
CELL_PARAMETERS angstrom
5.389 0.000 0.000
0.000 5.389 0.000
0.000 0.000 3.630
ATOMIC_POSITIONS angstrom
Sr 0.000 2.694 0.000
Sr 2.694 0.000 0.000
Ni 0.000 0.000 1.815
H 0.000 0.000 0.000
Au 2.694 2.694 1.815
```

Results
SG: P4/mmm (123)

=====

A plane-wave DFT calculation with PBE-GGA was carried out for Pm12Re5C15 after structural relaxation. Values from VASP.

Geometry as Quantum ESPRESSO input:
```
&SYSTEM
  ibrav = 0, nat = 32, ntyp = 3
/
ATOMIC_SPECIES
Pm 145.00 Pm.upf
Re 186.21 Re.upf
C 12.01 C.upf
CELL_PARAMETERS angstrom
10.967 0.000 0.000
-5.483 9.497 0.000
0.000 0.000 5.300
ATOMIC_POSITIONS angstrom
Pm -2.329 4.033 0.000
Pm -4.355 7.544 0.000
Pm -1.953 6.928 2.650
Pm 1.128 1.954 0.000
Pm 0.460 4.342 2.650
Pm 4.657 0.000 0.000
Pm 3.530 2.569 2.650
Pm 1.493 7.725 2.650
Pm 3.155 5.464 0.000
Pm 6.976 1.773 2.650
Pm 8.711 0.000 0.000
Pm 5.943 5.155 2.650
Re -0.835 1.445 2.650
Re 1.669 0.000 2.650
Re 0.000 6.332 0.000
Re 5.483 3.166 0.000
Re 4.649 8.052 2.650
C -1.806 3.128 2.650
C -2.483 4.301 2.650
C -4.336 7.510 2.650
C -1.855 6.794 0.000
C 1.148 1.988 2.650
C 0.527 4.494 0.000
C 3.612 0.000 2.650
C 4.966 0.000 2.650
C 3.628 2.704 0.000
C 1.328 7.707 0.000
C 3.000 5.196 2.650
C 3.677 6.369 2.650
C 6.811 1.790 0.000
C 8.671 0.000 2.650
C 6.011 5.003 0.000
```

Results
energy of formation: -0.28 eV per atom
SG: P-62m (189)

=====

A plane-wave DFT calculation with PBE-GGA was carried out for Mg2TcP after structural relaxation. Values from VASP.

Geometry as Quantum ESPRESSO input:
```
&SYSTEM
  ibrav = 0, nat = 8, ntyp = 3
/
ATOMIC_SPECIES
Mg 24.30 Mg.upf
Tc 98.00 Tc.upf
P 30.97 P.upf
CELL_PARAMETERS angstrom
3.821 0.000 0.000
0.000 3.576 0.000
0.000 0.000 10.234
ATOMIC_POSITIONS angstrom
Mg 0.000 0.000 0.000
Mg 0.000 1.788 5.117
Mg 1.911 0.000 3.320
Mg 1.911 1.788 8.437
Tc 0.000 0.000 7.346
Tc 0.000 1.788 2.229
P 1.911 0.000 6.127
P 1.911 1.788 1.010
```

Results
energy of formation: -0.21 eV per atom
SG: Amm2 (38)

=====

A plane-wave DFT calculation with PBE-GGA was carried out for KBaTeI after structural relaxation. Values from VASP.

Geometry as Quantum ESPRESSO input:
```
&SYSTEM
  ibrav = 0, nat = 12, ntyp = 4
/
ATOMIC_SPECIES
K 39.10 K.upf
Ba 137.33 Ba.upf
Te 127.60 Te.upf
I 126.90 I.upf
CELL_PARAMETERS angstrom
4.928 0.000 0.000
-2.464 4.268 0.000
0.000 0.000 26.496
ATOMIC_POSITIONS angstrom
K 0.000 0.000 0.000
K 0.000 2.845 17.664
K 2.464 1.423 8.832
Ba 0.000 0.000 4.884
Ba 0.000 2.845 22.548
Ba 2.464 1.423 13.716
Te 0.000 0.000 15.589
Te 0.000 2.845 6.757
Te 2.464 1.423 24.421
I 0.000 0.000 11.291
I 0.000 2.845 2.459
I 2.464 1.423 20.123
```

Results
offset from the most stable computed form: 0.00 kJ/mol of atoms
E_form (uncorrected): -6.078 eV per formula unit
SG: R3m (160)

=====

A plane-wave DFT calculation with PBE-GGA was carried out for Tl3CuOs2O9 after structural relaxation. Values from VASP.

Geometry as Quantum ESPRESSO input:
```
&SYSTEM
  ibrav = 0, nat = 15, ntyp = 4
/
ATOMIC_SPECIES
Tl 204.38 Tl.upf
Cu 63.55 Cu.upf
Os 190.23 Os.upf
O 16.00 O.upf
CELL_PARAMETERS angstrom
5.697 0.000 0.000
-2.849 4.934 0.000
0.000 0.000 7.185
ATOMIC_POSITIONS angstrom
Tl 0.000 0.000 0.000
Tl 0.000 3.289 4.670
Tl 2.849 1.645 2.515
Cu 0.000 0.000 3.592
Os 0.000 3.289 1.174
Os 2.849 1.645 6.011
O -1.424 2.467 0.000
O 0.000 1.733 2.183
O -1.348 4.067 2.183
O 1.501 0.866 5.001
O 2.849 0.000 0.000
O 1.424 2.467 0.000
O 1.348 4.067 2.183
O 4.196 0.866 5.001
O 2.849 3.201 5.001
```

Results
E_form (uncorrected): -11.305 eV per formula unit
SG: P-3m1 (164)

=====

| no. | total magnetic moment (μB per formula unit) | uncorrected energy (eV for the cell shown) |
| --- | --- | --- |
| 1 | 0.00 | -38.73 |
| 2 | 0.00 | -17.65 |
| 3 | 0.00 | -266.68 |
| 4 | 0.00 | -39.58 |
| 5 | 0.00 | -41.37 |
| 6 | 0.00 | -89.58 |